<P>
Here is AgPF2 after structural relaxation from Alexandria via LeMat-Bulk. Energies are from PBE. Values from VASP.

Geometry as Quantum ESPRESSO input:
```
&SYSTEM
  ibrav = 0, nat = 8, ntyp = 3
/
ATOMIC_SPECIES
Ag 107.87 Ag.upf
P 30.97 P.upf
F 19.00 F.upf
CELL_PARAMETERS angstrom
-1.9258 1.9258 7.5105
1.9258 -1.9258 7.5105
1.9258 1.9258 -7.5105
ATOMIC_POSITIONS crystal
Ag 0.0000 0.0000 0.0000
Ag 0.7500 0.2500 0.5000
P 0.2500 0.7500 0.5000
P 0.5000 0.5000 0.0000
F 0.1745 0.6250 0.0495
F 0.3750 0.4245 0.5495
F 0.5755 0.1250 0.9505
F 0.8750 0.8255 0.4505
```

Computed properties:
The volume is 111.4 Å³/cell. As for the space group: I-42d.

=====

<Q>
Here is AgPF2 after structural relaxation from Alexandria via LeMat-Bulk. Energies are from PBE. Values from VASP.

Geometry as Quantum ESPRESSO input:
```
&SYSTEM
  ibrav = 0, nat = 4, ntyp = 3
/
ATOMIC_SPECIES
Ag 107.87 Ag.upf
P 30.97 P.upf
F 19.00 F.upf
CELL_PARAMETERS angstrom
1.3872 0.8009 9.0507
-1.3872 0.8009 9.0507
0.0000 -1.6018 9.0507
ATOMIC_POSITIONS crystal
Ag 0.0000 0.0000 0.0000
P 0.5000 0.5000 0.5000
F 0.4382 0.4382 0.4382
F 0.5618 0.5618 0.5618
```

Computed properties:
The volume is 60.3 Å³/cell. As for the space group: R-3m.

=====

We find <Q> to be the most stable, with the next structure 459 meV per atom higher.

=====

<P>
Here is Ag2PF after structural relaxation from Alexandria via LeMat-Bulk. Energies are from PBE. Values from VASP.

Geometry as Quantum ESPRESSO input:
```
&SYSTEM
  ibrav = 0, nat = 8, ntyp = 3
/
ATOMIC_SPECIES
Ag 107.87 Ag.upf
P 30.97 P.upf
F 19.00 F.upf
CELL_PARAMETERS angstrom
-3.2030 3.2030 3.4408
3.2030 -3.2030 3.4408
3.2030 3.2030 -3.4408
ATOMIC_POSITIONS crystal
Ag 0.1150 0.6250 0.9900
Ag 0.3750 0.3650 0.4900
Ag 0.6350 0.1250 0.0100
Ag 0.8750 0.8850 0.5100
P 0.2500 0.7500 0.5000
P 0.5000 0.5000 0.0000
F 0.0000 0.0000 0.0000
F 0.7500 0.2500 0.5000
```

Computed properties:
The volume is 141.2 Å³/cell. As for the space group: I-42d.

=====

<Q>
Here is Ag2PF after structural relaxation from Alexandria via LeMat-Bulk. Energies are from PBE. Values from VASP.

Geometry as Quantum ESPRESSO input:
```
&SYSTEM
  ibrav = 0, nat = 4, ntyp = 3
/
ATOMIC_SPECIES
Ag 107.87 Ag.upf
P 30.97 P.upf
F 19.00 F.upf
CELL_PARAMETERS angstrom
0.0000 3.1225 3.1225
3.1225 0.0000 3.1225
3.1225 3.1225 0.0000
ATOMIC_POSITIONS crystal
Ag 0.2500 0.2500 0.2500
Ag 0.7500 0.7500 0.7500
P 0.0000 0.0000 0.0000
F 0.5000 0.5000 0.5000
```

Computed properties:
The volume is 60.9 Å³/cell. As for the space group: Fm-3m.

=====

We find <P> to be the most stable, with the next structure 89 meV per atom higher.

=====

<P>
Here is AgP3F after structural relaxation from Alexandria via LeMat-Bulk. Energies are from PBE. Values from VASP.

Geometry as Quantum ESPRESSO input:
```
&SYSTEM
  ibrav = 0, nat = 5, ntyp = 3
/
ATOMIC_SPECIES
Ag 107.87 Ag.upf
P 30.97 P.upf
F 19.00 F.upf
CELL_PARAMETERS angstrom
4.8229 0.0000 0.0000
0.0000 4.8229 0.0000
0.0000 0.0000 4.8229
ATOMIC_POSITIONS crystal
Ag 0.0000 0.0000 0.0000
P 0.0000 0.0000 0.5000
P 0.0000 0.5000 0.0000
P 0.5000 0.0000 0.0000
F 0.5000 0.5000 0.5000
```

Computed properties:
The volume is 112.2 Å³/cell. As for the space group: Pm-3m.

=====

<Q>
Here is AgP3F after structural relaxation from Alexandria via LeMat-Bulk. Energies are from PBE. Values from VASP.

Geometry as Quantum ESPRESSO input:
```
&SYSTEM
  ibrav = 0, nat = 5, ntyp = 3
/
ATOMIC_SPECIES
Ag 107.87 Ag.upf
P 30.97 P.upf
F 19.00 F.upf
CELL_PARAMETERS angstrom
4.4076 0.0000 0.0000
0.0000 4.4076 0.0000
0.0000 0.0000 4.4076
ATOMIC_POSITIONS crystal
Ag 0.0000 0.0000 0.0000
P 0.0000 0.5000 0.5000
P 0.5000 0.0000 0.5000
P 0.5000 0.5000 0.0000
F 0.5000 0.5000 0.5000
```

Computed properties:
The volume is 85.6 Å³/cell. As for the space group: Pm-3m.

=====

We find <Q> to be the most stable, with the next structure 342 meV per atom higher.

=====

<P>
Here is Ag2PF6 after structural relaxation from Alexandria via LeMat-Bulk. Energies are from PBE. Values from VASP.

Geometry as Quantum ESPRESSO input:
```
&SYSTEM
  ibrav = 0, nat = 18, ntyp = 3
/
ATOMIC_SPECIES
Ag 107.87 Ag.upf
P 30.97 P.upf
F 19.00 F.upf
CELL_PARAMETERS angstrom
4.2128 -7.0177 0.0000
4.2128 7.0177 0.0000
-0.8813 0.0000 4.4449
ATOMIC_POSITIONS crystal
Ag 0.0501 0.1853 0.0483
Ag 0.1853 0.0501 0.5483
Ag 0.8147 0.9499 0.4517
Ag 0.9499 0.8147 0.9517
P 0.3320 0.6680 0.2500
P 0.6680 0.3320 0.7500
F 0.1691 0.6715 0.0136
F 0.1727 0.5050 0.4025
F 0.3283 0.5004 0.0128
F 0.3285 0.8309 0.4864
F 0.4950 0.8273 0.0975
F 0.5004 0.3283 0.5128
F 0.4996 0.6717 0.4872
F 0.5050 0.1727 0.9025
F 0.6715 0.1691 0.5136
F 0.6717 0.4996 0.9872
F 0.8273 0.4950 0.5975
F 0.8309 0.3285 0.9864
```

Computed properties:
The volume is 262.8 Å³/cell. As for the space group: C2/c.

=====

<Q>
Here is Ag2PF6 after structural relaxation from Alexandria via LeMat-Bulk. Energies are from PBE. Values from VASP.

Geometry as Quantum ESPRESSO input:
```
&SYSTEM
  ibrav = 0, nat = 18, ntyp = 3
/
ATOMIC_SPECIES
Ag 107.87 Ag.upf
P 30.97 P.upf
F 19.00 F.upf
CELL_PARAMETERS angstrom
5.8898 0.0000 0.0000
0.0000 5.8898 0.0000
0.0000 0.0000 9.7365
ATOMIC_POSITIONS crystal
Ag 0.0000 0.0000 0.1383
Ag 0.0000 0.0000 0.8617
Ag 0.5000 0.5000 0.3617
Ag 0.5000 0.5000 0.6383
P 0.0000 0.0000 0.5000
P 0.5000 0.5000 0.0000
F 0.1402 0.1402 0.3795
F 0.1402 0.1402 0.6205
F 0.1958 0.8042 0.5000
F 0.3042 0.3042 0.0000
F 0.3598 0.6402 0.1205
F 0.3598 0.6402 0.8795
F 0.6402 0.3598 0.1205
F 0.6402 0.3598 0.8795
F 0.6958 0.6958 0.0000
F 0.8042 0.1958 0.5000
F 0.8598 0.8598 0.3795
F 0.8598 0.8598 0.6205
```

Computed properties:
The volume is 337.8 Å³/cell. As for the space group: P4_2/mnm.

=====

We find <P> to be the most stable, with the next structure 166 meV per atom higher.

=====

<P>
Here is AgPS2F after structural relaxation from Alexandria via LeMat-Bulk. Energies are from PBE. Values from VASP.

Geometry as Quantum ESPRESSO input:
```
&SYSTEM
  ibrav = 0, nat = 5, ntyp = 4
/
ATOMIC_SPECIES
Ag 107.87 Ag.upf
P 30.97 P.upf
S 32.06 S.upf
F 19.00 F.upf
CELL_PARAMETERS angstrom
4.8284 0.0000 0.0000
0.0000 4.8284 0.0000
0.0000 0.0000 4.8818
ATOMIC_POSITIONS crystal
Ag 0.0000 0.0000 0.0000
P 0.0000 0.0000 0.5000
S 0.0000 0.5000 0.0000
S 0.5000 0.0000 0.0000
F 0.5000 0.5000 0.5000
```

Computed properties:
The volume is 113.8 Å³/cell. As for the space group: P4/mmm.

=====

<Q>
Here is AgPS2F after structural relaxation from Alexandria via LeMat-Bulk. Energies are from PBE. Values from VASP.

Geometry as Quantum ESPRESSO input:
```
&SYSTEM
  ibrav = 0, nat = 5, ntyp = 4
/
ATOMIC_SPECIES
Ag 107.87 Ag.upf
P 30.97 P.upf
S 32.06 S.upf
F 19.00 F.upf
CELL_PARAMETERS angstrom
5.0162 0.0000 0.0000
0.0000 5.0162 0.0000
0.0000 0.0000 3.6908
ATOMIC_POSITIONS crystal
Ag 0.0000 0.0000 0.0000
P 0.5000 0.5000 0.0000
S 0.0000 0.5000 0.5000
S 0.5000 0.0000 0.5000
F 0.5000 0.5000 0.5000
```

Computed properties:
The volume is 92.9 Å³/cell. As for the space group: P4/mmm.

=====

We find <Q> to be the most stable, with the next structure 265 meV per atom higher.

=====

<P>
Here is Ag3PbF after structural relaxation from Alexandria via LeMat-Bulk. Energies are from PBE. Values from VASP.

Geometry as Quantum ESPRESSO input:
```
&SYSTEM
  ibrav = 0, nat = 5, ntyp = 3
/
ATOMIC_SPECIES
Ag 107.87 Ag.upf
Pb 207.20 Pb.upf
F 19.00 F.upf
CELL_PARAMETERS angstrom
5.4178 0.0000 0.0000
0.0000 5.4178 0.0000
0.0000 0.0000 5.4178
ATOMIC_POSITIONS crystal
Ag 0.0000 0.0000 0.5000
Ag 0.0000 0.5000 0.0000
Ag 0.5000 0.0000 0.0000
Pb 0.0000 0.0000 0.0000
F 0.5000 0.5000 0.5000
```

Computed properties:
The volume is 159.0 Å³/cell. As for the space group: Pm-3m.

=====

<Q>
Here is Ag3PbF after structural relaxation from Alexandria via LeMat-Bulk. Energies are from PBE. Values from VASP.

Geometry as Quantum ESPRESSO input:
```
&SYSTEM
  ibrav = 0, nat = 5, ntyp = 3
/
ATOMIC_SPECIES
Ag 107.87 Ag.upf
Pb 207.20 Pb.upf
F 19.00 F.upf
CELL_PARAMETERS angstrom
4.7192 0.0000 0.0000
0.0000 4.7192 0.0000
0.0000 0.0000 4.7192
ATOMIC_POSITIONS crystal
Ag 0.0000 0.0000 0.5000
Ag 0.0000 0.5000 0.0000
Ag 0.5000 0.0000 0.0000
Pb 0.5000 0.5000 0.5000
F 0.0000 0.0000 0.0000
```

Computed properties:
The volume is 105.1 Å³/cell. As for the space group: Pm-3m.

=====

We find <Q> to be the most stable, with the next structure 605 meV per atom higher.